1.
First-principles (PBE) data for a geometry-optimized CaAl9P2 structure, as listed in the Alexandria database.

Structure (CIF):
```
data_CaAl9P2
_chemical_formula_sum 'Ca1 Al9 P2'
_cell_length_a 8.6588
_cell_length_b 8.6588
_cell_length_c 3.3437
_cell_angle_alpha 90.00
_cell_angle_beta 90.00
_cell_angle_gamma 120.00
_space_group_name_H-M_alt 'P 6/m m m'
_space_group_IT_number 191
_space_group_name_Hall '-P 6 2'
loop_
_atom_site_label
_atom_site_fract_x
_atom_site_fract_y
_atom_site_fract_z
_atom_site_occupancy
Ca1 0.0000 0.0000 0.0000 1
Al1 0.0000 0.5000 0.0000 1
Al2 0.1906 0.3812 0.5000 1
P1 0.3333 0.6667 0.0000 1
```

Values from the calculation:
As for the energy relative to the elements: 0.030 eV per atom. The density of states at the Fermi level is 0.662 states/eV per atom.

2.
First-principles (PBE) data for a geometry-optimized LiUO structure, as listed in the Alexandria database.

Structure (CIF):
```
data_LiUO
_chemical_formula_sum 'Li2 U2 O2'
_cell_length_a 3.0302
_cell_length_b 3.0302
_cell_length_c 8.7642
_cell_angle_alpha 90.00
_cell_angle_beta 90.00
_cell_angle_gamma 90.00
_space_group_name_H-M_alt 'P 4/n m m'
_space_group_IT_number 129
loop_
_space_group_symop_operation_xyz
'x,y,z'
'-x,-y,-z'
'-y+1/2,x,z'
'y+1/2,-x,-z'
'-x+1/2,-y+1/2,z'
'x+1/2,y+1/2,-z'
'y,-x+1/2,z'
'-y,x+1/2,-z'
'x+1/2,-y,-z'
'-x+1/2,y,z'
'-y,-x,-z'
'y,x,z'
'-x,y+1/2,-z'
'x,-y+1/2,z'
'y+1/2,x+1/2,-z'
'-y+1/2,-x+1/2,z'
loop_
_atom_site_label
_atom_site_fract_x
_atom_site_fract_y
_atom_site_fract_z
_atom_site_occupancy
Li1 0.2500 0.2500 0.0935 1
U1 0.2500 0.2500 0.6331 1
O1 0.2500 0.2500 0.8643 1
```

Values from the calculation:
The density of states at the Fermi level is 1.088 states/eV per atom. Its uncorrected formation energy is -1.476 eV per atom.

What did the first record say?
First-principles (PBE) data for a geometry-optimized CaAl9P2 structure, as listed in the Alexandria database.

Structure (CIF):
```
data_CaAl9P2
_chemical_formula_sum 'Ca1 Al9 P2'
_cell_length_a 8.6588
_cell_length_b 8.6588
_cell_length_c 3.3437
_cell_angle_alpha 90.00
_cell_angle_beta 90.00
_cell_angle_gamma 120.00
_space_group_name_H-M_alt 'P 6/m m m'
_space_group_IT_number 191
_space_group_name_Hall '-P 6 2'
loop_
_atom_site_label
_atom_site_fract_x
_atom_site_fract_y
_atom_site_fract_z
_atom_site_occupancy
Ca1 0.0000 0.0000 0.0000 1
Al1 0.0000 0.5000 0.0000 1
Al2 0.1906 0.3812 0.5000 1
P1 0.3333 0.6667 0.0000 1
```

Values from the calculation:
As for the energy relative to the elements: 0.030 eV per atom. The density of states at the Fermi level is 0.662 states/eV per atom.

Repeat the first record exactly.
First-principles (PBE) data for a geometry-optimized CaAl9P2 structure, as listed in the Alexandria database.

Structure (CIF):
```
data_CaAl9P2
_chemical_formula_sum 'Ca1 Al9 P2'
_cell_length_a 8.6588
_cell_length_b 8.6588
_cell_length_c 3.3437
_cell_angle_alpha 90.00
_cell_angle_beta 90.00
_cell_angle_gamma 120.00
_space_group_name_H-M_alt 'P 6/m m m'
_space_group_IT_number 191
_space_group_name_Hall '-P 6 2'
loop_
_atom_site_label
_atom_site_fract_x
_atom_site_fract_y
_atom_site_fract_z
_atom_site_occupancy
Ca1 0.0000 0.0000 0.0000 1
Al1 0.0000 0.5000 0.0000 1
Al2 0.1906 0.3812 0.5000 1
P1 0.3333 0.6667 0.0000 1
```

Values from the calculation:
As for the energy relative to the elements: 0.030 eV per atom. The density of states at the Fermi level is 0.662 states/eV per atom.